Density functional theory data (PBE) for an optimized crystal structure of Li6Mg5Tl.

Properties
Total moment = 0.0 μB per formula unit
Energy above the lowest structure with this stoichiometry = 5 meV/atom
E_form = -0.099 eV per atom

Cell lengths 8.416, 14.346, 4.824 Å; angles 90.00, 124.89, 90.00 degrees
Space group C2/m (No. 12)
Asymmetric unit:
1 Li 0.238 0.000 0.239
2 Li 0.245 0.164 0.745
3 Mg 0.000 0.171 0.000
4 Mg 0.000 0.335 0.500
5 Mg 0.000 0.500 0.000
6 Tl 0.000 0.000 0.500